VASP calculation (PBE) on a geometry-optimized TiNbN2 structure.

Summary:
Symmetry: C2/m, No. 12

Cell: 3.062 3.062 5.383 Å, 106.61 106.61 60.01°
Positions (direct):
Ti (0.000, 0.000, 0.000)
Nb (0.500, 0.500, 0.500)
N (0.256, 0.256, 0.768)
N (0.744, 0.744, 0.232)


VASP calculation (PBE) on a geometry-optimized TiNb2N structure.

Summary:
Symmetry: Fm-3m, No. 225

Cell: 4.350 4.350 4.350 Å, 60.00 60.00 60.00°
Positions (direct):
Ti (0.000, 0.000, 0.000)
Nb (0.250, 0.250, 0.250)
Nb (0.750, 0.750, 0.750)
N (0.500, 0.500, 0.500)


Formation energy (no corrections) readings, ordered: -1.323, 0.926 eV/atom
Total energy readings, ordered: -9.98, -8.16 eV per atom
Total moment readings, ordered: 0.0, 0.0 μB per formula unit